--- one ---
Entry from the Alexandria database: crystalline Ce2Pr2Ir3 at its relaxed geometry (GGA-PBE).

a b c (Å): 14.883 4.371 5.859
angles (deg): 90.00 102.02 90.00
Space group C2/m (No. 12)
Unique sites:
Ce1 0.167 0.000 0.316 [4 per cell]
Pr1 0.090 0.500 0.803 [4 per cell]
Ir1 0.000 0.000 0.000 [2 per cell]
Ir2 0.233 0.000 0.811 [4 per cell]

total magnetic moment: 1.599 μB/cell
DOS(E_F): 1.4817 states/eV per atom



--- two ---
Entry from the Alexandria database: crystalline Ce2Pr2Ir3 at its relaxed geometry (GGA-PBE).

a b c (Å): 8.836 8.836 8.836
angles (deg): 90.00 90.00 90.00
Space group I2_13 (No. 199)
Unique sites:
Ce1 0.193 0.307 0.693 [8 per cell]
Pr1 0.064 0.064 0.064 [8 per cell]
Ir1 0.000 0.250 0.384 [12 per cell]

total magnetic moment: 4.756 μB/cell
DOS(E_F): 1.4248 states/eV per atom



two has the most favorable energy; the next structure is 20 meV/atom above.